# PBE LiYNb2C, relaxed
# Raw total energy in eV for the cell shown: -26.1
# Theoretical density in g/cm³: 4.1
# Density of states at the Fermi level in states/eV/atom: 1.119
data_LiYNb2C
_space_group_name_H-M_alt 'P 4/m m m'
_space_group_IT_number 123
_space_group_name_Hall '-P 4 2'
_cell_length_a 5.161
_cell_length_b 5.161
_cell_length_c 4.486
_cell_angle_alpha 90.00
_cell_angle_beta 90.00
_cell_angle_gamma 90.00
loop_
_atom_site_label
_atom_site_fract_x
_atom_site_fract_y
_atom_site_fract_z
Li1 0.000 0.000 0.000
Y1 0.500 0.500 0.500
Nb1 0.000 0.500 0.500
C1 0.500 0.500 0.000